No. 1
# LiH12Pt7

LiH12Pt7 after structural relaxation (PBE-GGA, Alexandria via LeMat-Bulk).

Computed properties:
- DFT total energy (eV/atom) = -4.156
- SG = No. 148

Cell lengths 6.759, 6.759, 6.759 Å; angles 113.31, 113.31, 113.31 degrees
Atoms (fractional coordinates):
1 Li 0.000 0.000 0.000
2 H 0.694 0.125 0.662
3 H 0.875 0.338 0.306
4 H 0.275 0.221 0.471
5 H 0.779 0.529 0.725
6 H 0.338 0.306 0.875
7 H 0.529 0.725 0.779
8 H 0.471 0.275 0.221
9 H 0.662 0.694 0.125
10 H 0.221 0.471 0.275
11 H 0.725 0.779 0.529
12 H 0.125 0.662 0.694
13 H 0.306 0.875 0.338
14 Pt 0.118 0.656 0.933
15 Pt 0.344 0.067 0.882
16 Pt 0.067 0.882 0.344
17 Pt 0.500 0.500 0.500
18 Pt 0.933 0.118 0.656
19 Pt 0.656 0.933 0.118
20 Pt 0.882 0.344 0.067

No. 2
# Li2H4Pt

Li2H4Pt after structural relaxation (PBE-GGA, Alexandria via LeMat-Bulk).

Computed properties:
- offset from the most stable computed form (eV per formula unit) = 0.19
- SG = No. 139

Cell lengths 3.650, 3.650, 5.461 Å; angles 70.48, 70.48, 90.00 degrees
Atoms (fractional coordinates):
1 H 0.173 0.173 0.654
2 H 0.827 0.827 0.346
3 H 0.000 0.500 0.000
4 H 0.500 0.000 0.000
5 Pt 0.000 0.000 0.000
6 Li 0.367 0.367 0.265
7 Li 0.633 0.633 0.735

No. 3
# LiH5Pt

LiH5Pt after structural relaxation (PBE-GGA, Alexandria via LeMat-Bulk).

Computed properties:
- offset from the most stable computed form (eV per formula unit) = 0.62
- SG = No. 71

Cell lengths 3.513, 4.588, 4.588 Å; angles 60.20, 67.49, 67.49 degrees
Atoms (fractional coordinates):
1 Li 0.000 0.000 0.000
2 H 0.500 0.127 0.873
3 H 0.500 0.873 0.127
4 H 0.730 0.270 0.270
5 H 0.270 0.730 0.730
6 H 0.000 0.500 0.500
7 Pt 0.500 0.500 0.500

No. 4
# Li2H4Pt

Li2H4Pt after structural relaxation (PBE-GGA, Alexandria via LeMat-Bulk).

Computed properties:
- offset from the most stable computed form (eV per formula unit) = 0.00
- SG = No. 63

Cell lengths 4.490, 5.400, 5.400 Å; angles 100.36, 90.00, 90.00 degrees
Atoms (fractional coordinates):
1 Li 0.750 0.926 0.629
2 Li 0.250 0.629 0.926
3 Li 0.250 0.074 0.371
4 Li 0.750 0.371 0.074
5 H 0.750 0.657 0.864
6 H 0.250 0.864 0.657
7 H 0.250 0.343 0.136
8 H 0.750 0.136 0.343
9 H 0.003 0.741 0.259
10 H 0.997 0.259 0.741
11 H 0.497 0.741 0.259
12 H 0.503 0.259 0.741
13 Pt 0.750 0.885 0.115
14 Pt 0.250 0.115 0.885

No. 5
# LiH4Pt2

LiH4Pt2 after structural relaxation (PBE-GGA, Alexandria via LeMat-Bulk).

Computed properties:
- offset from the most stable computed form (eV per formula unit) = 0.00
- SG = No. 70

Cell lengths 5.505, 5.505, 5.845 Å; angles 103.12, 103.13, 121.19 degrees
Atoms (fractional coordinates):
1 Li 0.250 0.750 0.500
2 Li 0.000 0.000 0.000
3 H 0.839 0.228 0.216
4 H 0.411 0.522 0.284
5 H 0.013 0.623 0.784
6 H 0.771 0.160 0.784
7 H 0.377 0.988 0.216
8 H 0.237 0.127 0.716
9 H 0.479 0.590 0.716
10 H 0.873 0.762 0.284
11 Pt 0.625 0.375 0.750
12 Pt 0.625 0.875 0.250
13 Pt 0.625 0.375 0.250
14 Pt 0.125 0.375 0.750

No. 6
# LiH6Pt2

LiH6Pt2 after structural relaxation (PBE-GGA, Alexandria via LeMat-Bulk).

Computed properties:
- DFT total energy (eV/atom) = -3.919
- SG = No. 162

Cell lengths 4.139, 4.917, 4.917 Å; angles 120.00, 90.00, 90.00 degrees
Atoms (fractional coordinates):
1 Li 0.500 0.000 0.000
2 H 0.286 0.628 0.000
3 H 0.286 0.372 0.372
4 H 0.286 0.000 0.628
5 H 0.714 0.372 0.000
6 H 0.714 0.628 0.628
7 H 0.714 0.000 0.372
8 Pt 0.500 0.333 0.667
9 Pt 0.500 0.667 0.333

No. 7
# Li3H4Pt

Li3H4Pt after structural relaxation (PBE-GGA, Alexandria via LeMat-Bulk).

Computed properties:
- offset from the most stable computed form (eV per formula unit) = 0.36
- SG = No. 13

Cell lengths 5.120, 4.764, 6.256 Å; angles 90.00, 90.00, 107.74 degrees
Atoms (fractional coordinates):
1 Li 0.750 0.000 0.354
2 Li 0.250 0.000 0.646
3 Li 0.750 0.500 0.606
4 Li 0.750 0.500 0.075
5 Li 0.250 0.500 0.394
6 Li 0.250 0.500 0.925
7 H 0.019 0.290 0.690
8 H 0.549 0.221 0.819
9 H 0.519 0.290 0.310
10 H 0.049 0.221 0.181
11 H 0.951 0.779 0.819
12 H 0.481 0.710 0.690
13 H 0.451 0.779 0.181
14 H 0.981 0.710 0.310
15 Pt 0.750 0.000 0.784
16 Pt 0.250 0.000 0.216

No. 8
# Li2HPt

Li2HPt after structural relaxation (PBE-GGA, Alexandria via LeMat-Bulk).

Computed properties:
- offset from the most stable computed form (eV per formula unit) = 0.54
- SG = No. 122

Cell lengths 7.004, 7.004, 5.293 Å; angles 48.57, 48.57, 90.00 degrees
Atoms (fractional coordinates):
1 H 0.500 0.500 0.000
2 H 0.250 0.750 0.500
3 Pt 0.000 0.000 0.000
4 Pt 0.750 0.250 0.500
5 Li 0.511 0.125 0.250
6 Li 0.239 0.625 0.250
7 Li 0.375 0.489 0.750
8 Li 0.875 0.761 0.750

Number 1: Fermi-level density of states 0.33 states/eV/atom. Number 2: Fermi-level density of states 0.06 states/eV/atom. Number 3: Fermi-level density of states 0.04 states/eV/atom. Number 4: Fermi-level density of states 0.01 states/eV/atom. Number 5: Fermi-level density of states 0.06 states/eV/atom. Number 6: Fermi-level density of states 0.17 states/eV/atom. Number 7: Fermi-level density of states 0.07 states/eV/atom. Number 8: Fermi-level density of states 0.27 states/eV/atom.